No. 1
Material: YSb2P
Method: DFT, GGA-PBEsol
State: optimized geometry

Results
Total magnetic moment ... 0.000 μB per formula unit
Energy ... -5.855 eV per atom

a = 4.102 Å, b = 4.102 Å, c = 5.675 Å
α = 90.00°, β = 90.00°, γ = 90.00°
Fractional positions:
Y: 0.000 0.000 0.000
Sb: 0.000 0.500 0.500
Sb: 0.500 0.000 0.500
P: 0.500 0.500 0.000

No. 2
Material: YSb2P
Method: DFT, GGA-PBEsol
State: optimized geometry

Results
Total magnetic moment ... 0.000 μB per formula unit
Energy ... -5.913 eV per atom

a = 6.057 Å, b = 6.057 Å, c = 6.057 Å
α = 139.57°, β = 139.57°, γ = 58.51°
Fractional positions:
Y: 0.000 0.000 0.000
Sb: 0.250 0.750 0.500
Sb: 0.750 0.250 0.500
P: 0.500 0.500 0.000

No. 3
Material: YSb3P
Method: DFT, GGA-PBEsol
State: optimized geometry

Results
Total magnetic moment ... 0.000 μB per formula unit
Energy ... -5.186 eV per atom

a = 5.137 Å, b = 5.137 Å, c = 5.137 Å
α = 90.00°, β = 90.00°, γ = 90.00°
Fractional positions:
Y: 0.000 0.000 0.000
Sb: 0.000 0.500 0.500
Sb: 0.500 0.000 0.500
Sb: 0.500 0.500 0.000
P: 0.500 0.500 0.500

No. 4
Material: Zn2SbP
Method: DFT, GGA-PBEsol
State: optimized geometry

Results
Total magnetic moment ... 0.000 μB per formula unit
E above lowest polymorph ... 0.34 eV per formula unit
Energy ... -3.133 eV per atom

a = 5.048 Å, b = 5.048 Å, c = 5.048 Å
α = 138.42°, β = 116.82°, γ = 78.51°
Fractional positions:
Zn: 0.216 0.216 0.000
Zn: 0.784 0.784 0.000
Sb: 0.500 0.000 0.500
P: 0.000 0.500 0.500

No. 5
Material: Zn2SbP
Method: DFT, GGA-PBEsol
State: optimized geometry

Results
Total magnetic moment ... 0.000 μB per formula unit
E above lowest polymorph ... 0.87 eV per formula unit
Energy ... -3.000 eV per atom

a = 4.662 Å, b = 4.662 Å, c = 4.662 Å
α = 60.00°, β = 60.00°, γ = 60.00°
Fractional positions:
Zn: 0.250 0.250 0.250
Zn: 0.750 0.750 0.750
Sb: 0.000 0.000 0.000
P: 0.500 0.500 0.500

No. 6
Material: Zn2SbP
Method: DFT, GGA-PBEsol
State: optimized geometry

Results
Total magnetic moment ... 0.000 μB per formula unit
E above lowest polymorph ... 0.19 eV per formula unit
Energy ... -3.170 eV per atom

a = 4.564 Å, b = 4.564 Å, c = 4.178 Å
α = 104.98°, β = 104.98°, γ = 106.46°
Fractional positions:
Zn: 0.000 0.500 0.000
Zn: 0.500 0.000 0.000
Sb: 0.000 0.000 0.500
P: 0.500 0.500 0.500

No. 7
Material: ZnSbP2
Method: DFT, GGA-PBEsol
State: optimized geometry

Results
Total magnetic moment ... 0.000 μB per formula unit
E above lowest polymorph ... 0.00 eV per formula unit
Energy ... -4.297 eV per atom

a = 8.335 Å, b = 8.335 Å, c = 8.335 Å
α = 22.79°, β = 22.79°, γ = 22.79°
Fractional positions:
Zn: 0.000 0.000 0.000
Sb: 0.755 0.755 0.755
P: 0.258 0.258 0.258
P: 0.539 0.539 0.539

No. 8
Material: ZnSbP2
Method: DFT, GGA-PBEsol
State: optimized geometry

Results
Total magnetic moment ... 0.000 μB per formula unit
E above lowest polymorph ... 1.25 eV per formula unit
Energy ... -3.985 eV per atom

a = 4.562 Å, b = 4.562 Å, c = 3.366 Å
α = 90.00°, β = 90.00°, γ = 90.00°
Fractional positions:
Zn: 0.000 0.000 0.000
Sb: 0.500 0.500 0.000
P: 0.000 0.500 0.500
P: 0.500 0.000 0.500

no.,ΔE_f (raw) (meV/atom)
1,-423
2,-481
3,71
4,245
5,378
6,209
7,134
8,446